(1)
DFT (PBE) results for a relaxed structure of Ce3Ga2Pt4.

Cell lengths 5.878, 5.878, 8.680 Å; angles 115.01, 115.01, 44.18 degrees
Fractional coordinates of all 9 atoms:
Ce: 0.000 0.000 0.000
Ce: 0.360 0.360 0.312
Ce: 0.640 0.640 0.688
Ga: 0.341 0.341 0.670
Ga: 0.659 0.659 0.330
Pt: 0.078 0.078 0.403
Pt: 0.287 0.287 0.927
Pt: 0.713 0.713 0.073
Pt: 0.922 0.922 0.597

---

(2)
DFT (PBE) results for a relaxed structure of BaPmCu2.

Cell lengths 3.760, 3.760, 7.518 Å; angles 90.00, 90.00, 90.00 degrees
Fractional coordinates of all 4 atoms:
Ba: 0.000 0.000 0.000
Pm: 0.000 0.000 0.500
Cu: 0.500 0.500 0.315
Cu: 0.500 0.500 0.685

---

(3)
DFT (PBE) results for a relaxed structure of Tb4Tm3Pu.

Cell lengths 8.711, 8.711, 8.711 Å; angles 157.45, 97.68, 86.72 degrees
Fractional coordinates of all 8 atoms:
Tb: 0.117 0.869 0.248
Tb: 0.379 0.131 0.248
Tb: 0.621 0.869 0.752
Tb: 0.883 0.131 0.752
Tm: 0.237 0.737 0.500
Tm: 0.500 0.500 0.000
Tm: 0.763 0.263 0.500
Pu: 0.000 0.000 0.000

---

(4)
DFT (PBE) results for a relaxed structure of AcDy2Ga.

Cell lengths 3.629, 3.629, 9.148 Å; angles 90.00, 90.00, 90.00 degrees
Fractional coordinates of all 4 atoms:
Ac: 0.000 0.000 0.000
Dy: 0.500 0.500 0.305
Dy: 0.500 0.500 0.695
Ga: 0.000 0.000 0.500

---

Energy of formation (meV per atom)
-1042 -56 153 -246
Calculated volume (Å³ per atom)
20.66 26.57 30.93 30.11
Uncorrected energy (eV per formula unit)
-57.40 -15.09 -45.04 -17.32